Entry 1:
This record from Alexandria via LeMat-Bulk describes a relaxed structure of HoGa3NiIr. The functional is PBE.

Results
total magnetization = 0.0 μB per formula unit
energy relative to the elements = -407 meV per atom

Cell lengths 7.8884, 10.5374, 5.4091 Å; angles 90.00, 90.00, 90.00 degrees
Last column: nearest neighbours and their distance in Å.
Space group Cmcm (No. 63)
Asymmetric unit:
Ho 0.0000 0.2018 0.2500 [4 per cell]  1 Ni 2.68, 2 Ir 2.95, 2 Ga 2.99
Ga 0.0000 0.3220 0.7500 [4 per cell]  1 Ni 2.33, 1 Ir 2.45
Ga 0.2501 0.0000 0.0000 [8 per cell]  2 Ni 2.43, 2 Ir 2.57, 2 Ga 2.70
Ni 0.0000 0.4566 0.2500 [4 per cell]  5 Ga 2.33-2.43
Ir 0.0000 0.0892 0.7500 [4 per cell]  5 Ga 2.45-2.57

Entry 2:
This record from Alexandria via LeMat-Bulk describes a relaxed structure of Rb2CaBr. The functional is PBE.

Results
total magnetization = 0.0 μB per formula unit
ΔE to the lowest computed polymorph = 0 meV/atom
formation energy from raw total energies = -0.646 eV per atom

Cell lengths 4.4172, 4.4172, 38.2891 Å; angles 90.00, 90.00, 120.00 degrees
Last column: nearest neighbours and their distance in Å.
Space group R-3m (No. 166, hexagonal axes)
Asymmetric unit:
Rb 0.0000 0.0000 0.1076 [6 per cell]  3 Br 3.41
Ca 0.0000 0.0000 0.0000 [3 per cell]  2 Rb 4.12, 6 Ca 4.42
Br 0.0000 0.0000 0.5000 [3 per cell]  6 Rb 3.41

Entry 3:
This record from Alexandria via LeMat-Bulk describes a relaxed structure of Tb4YTm3. The functional is PBE.

Results
total magnetization = 0.0 μB per formula unit
ΔE to the lowest computed polymorph = 0 meV/atom
energy relative to the elements = 6 meV per atom

Cell lengths 11.2032, 7.2361, 6.2593 Å; angles 90.00, 90.00, 90.00 degrees
Last column: nearest neighbours and their distance in Å.
Space group Pmn2_1 (No. 31)
Asymmetric unit:
Tb 0.0000 0.1264 0.0000 [2 per cell]  6 Tb 3.48-3.64, 4 Tm 3.49-3.63, 2 Y 3.60-3.64
Tb 0.0000 0.8735 0.5033 [2 per cell]  6 Tb 3.49-3.64, 4 Tm 3.49-3.64, 2 Y 3.61-3.62
Tb 0.2482 0.1260 0.3345 [4 per cell]  6 Tb 3.48-3.62, 5 Tm 3.48-3.63, 1 Y 3.51
Y 0.0000 0.6239 0.0029 [2 per cell]  6 Tm 3.49-3.61, 6 Tb 3.51-3.64
Tm 0.0000 0.3766 0.5024 [2 per cell]  6 Tb 3.48-3.64, 4 Tm 3.48-3.49, 2 Y 3.60-3.61
Tm 0.2500 0.3762 0.8361 [4 per cell]  4 Tm 3.48-3.61, 2 Y 3.49, 6 Tb 3.49-3.63

Entry 4:
This record from Alexandria via LeMat-Bulk describes a relaxed structure of PBrO. The functional is PBE.

Results
total magnetization = 0.0 μB per formula unit
formation energy from raw total energies = -0.894 eV per atom

Cell lengths 4.7784, 6.0938, 6.1186 Å; angles 91.82, 96.04, 98.54 degrees
Last column: nearest neighbours and their distance in Å.
Space group P1 (No. 1)
Asymmetric unit:
P 0.0000 0.0000 0.0000 [1 per cell]  1 O 1.49
P 0.2850 0.7640 0.6345 [1 per cell]  1 O 1.63
Br 0.3810 0.4498 0.7984 [1 per cell]  1 P 2.27
Br 0.9699 0.6016 0.3392 [1 per cell]  1 P 2.32
O 0.0509 0.8408 0.7837 [1 per cell]  2 P 1.63-1.68
O 0.6919 0.0185 0.9714 [1 per cell]  1 P 1.49

Entry 5:
This record from Alexandria via LeMat-Bulk describes a relaxed structure of CaEuGa. The functional is PBE.

Results
total magnetization = 7.4 μB per formula unit
ΔE to the lowest computed polymorph = 0 meV/atom
energy relative to the elements = -330 meV per atom

Cell lengths 3.7613, 3.7613, 13.2001 Å; angles 90.00, 90.00, 90.00 degrees
Last column: nearest neighbours and their distance in Å.
Space group I4mm (No. 107)
Asymmetric unit:
Ca 0.0000 0.0000 0.0000 [2 per cell]  4 Ga 3.16, 1 Eu 3.54
Eu 0.0000 0.0000 0.7319 [2 per cell]  4 Ga 3.23, 1 Ca 3.54
Ga 0.0000 0.0000 0.3703 [2 per cell]  4 Ca 3.16, 4 Eu 3.23

Entry 6:
This record from Alexandria via LeMat-Bulk describes a relaxed structure of CdAs2PdW. The functional is PBE.

Results
total magnetization = 3.0 μB per formula unit
energy relative to the elements = 1928 meV per atom

Cell lengths 4.9529, 4.9529, 5.1884 Å; angles 90.00, 90.00, 90.00 degrees
Last column: nearest neighbours and their distance in Å.
Space group P4/mmm (No. 123)
Asymmetric unit:
Cd 0.0000 0.0000 0.0000 [1 per cell]  4 As 2.48, 2 W 2.59
As 0.0000 0.5000 0.0000 [2 per cell]  2 Cd 2.48
Pd 0.5000 0.5000 0.5000 [1 per cell]  4 W 3.50, 8 As 3.59
W 0.0000 0.0000 0.5000 [1 per cell]  2 Cd 2.59

Entry 7:
This record from Alexandria via LeMat-Bulk describes a relaxed structure of BeSbP. The functional is PBE.

Results
total magnetization = 0.0 μB per formula unit
ΔE to the lowest computed polymorph = 307 meV/atom
formation energy from raw total energies = 0.455 eV per atom

Cell lengths 6.0780, 6.0780, 6.0780 Å; angles 90.00, 90.00, 90.00 degrees
Last column: nearest neighbours and their distance in Å.
Space group F-43m (No. 216)
Asymmetric unit:
Be 0.0000 0.0000 0.0000 [4 per cell]  4 Sb 2.63, 4 P 2.63
Sb 0.2500 0.2500 0.7500 [4 per cell]  4 Be 2.63
P 0.2500 0.2500 0.2500 [4 per cell]  4 Be 2.63

Entry 8:
This record from Alexandria via LeMat-Bulk describes a relaxed structure of CaReOsSe2. The functional is PBE.

Results
total magnetization = 4.0 μB per formula unit
formation energy from raw total energies = 1.257 eV per atom

Cell lengths 4.7838, 4.7838, 5.6206 Å; angles 90.00, 90.00, 90.00 degrees
Last column: nearest neighbours and their distance in Å.
Space group P4/mmm (No. 123)
Asymmetric unit:
Ca 0.0000 0.0000 0.0000 [1 per cell]  2 Os 2.81
Re 0.5000 0.5000 0.0000 [1 per cell]  4 Ca 3.38, 8 Se 3.69
Os 0.0000 0.0000 0.5000 [1 per cell]  4 Se 2.39
Se 0.0000 0.5000 0.5000 [2 per cell]  2 Os 2.39

Entry 9:
This record from Alexandria via LeMat-Bulk describes a relaxed structure of TiCo2RuC. The functional is PBE.

Results
total magnetization = 0.0 μB per formula unit
energy relative to the elements = -200 meV per atom

Cell lengths 3.7743, 3.7743, 4.0185 Å; angles 90.00, 90.00, 90.00 degrees
Last column: nearest neighbours and their distance in Å.
Space group P4/mmm (No. 123)
Asymmetric unit:
Ti 0.0000 0.0000 0.0000 [1 per cell]  4 Ru 2.67, 8 Co 2.76
Co 0.0000 0.5000 0.5000 [2 per cell]  2 C 1.89
Ru 0.5000 0.5000 0.0000 [1 per cell]  2 C 2.01
C 0.5000 0.5000 0.5000 [1 per cell]  4 Co 1.89, 2 Ru 2.01

Entry 10:
This record from Alexandria via LeMat-Bulk describes a relaxed structure of Pr2Nd2Sm4Ho. The functional is PBE.

Results
total magnetization = 0.0 μB per formula unit
energy relative to the elements = 13 meV per atom

Cell lengths 19.0774, 3.6777, 9.8032 Å; angles 90.00, 115.62, 90.00 degrees
Last column: nearest neighbours and their distance in Å.
Space group C2/m (No. 12)
Asymmetric unit:
Pr 0.1473 0.0000 0.1657 [4 per cell]  7 Sm 3.63-3.69, 3 Nd 3.65-3.66, 2 Pr 3.68
Nd 0.1651 0.5000 0.5003 [4 per cell]  3 Sm 3.59-3.61, 2 Ho 3.65, 3 Pr 3.65-3.66, 4 Nd 3.68-3.73
Sm 0.0184 0.5000 0.8283 [4 per cell]  1 Nd 3.59, 2 Ho 3.59, 4 Pr 3.65-3.68, 5 Sm 3.65-3.72
Sm 0.1847 0.0000 0.8324 [4 per cell]  2 Nd 3.61, 1 Ho 3.62, 3 Pr 3.63-3.69, 6 Sm 3.65-3.68
Ho 0.0000 0.0000 0.5000 [2 per cell]  6 Sm 3.59-3.62, 4 Nd 3.65, 2 Ho 3.68

Entry 11:
This record from Alexandria via LeMat-Bulk describes a relaxed structure of InRhPb2. The functional is PBE.

Results
total magnetization = 0.0 μB per formula unit
energy relative to the elements = 222 meV per atom

Cell lengths 4.7136, 4.7136, 4.2876 Å; angles 90.00, 90.00, 90.00 degrees
Last column: nearest neighbours and their distance in Å.
Space group P4/mmm (No. 123)
Asymmetric unit:
In 0.0000 0.0000 0.0000 [1 per cell]  8 Pb 3.19, 4 Rh 3.33
Rh 0.5000 0.5000 0.0000 [1 per cell]  8 Pb 3.19, 4 In 3.33
Pb 0.0000 0.5000 0.5000 [2 per cell]  4 In 3.19, 4 Rh 3.19, 4 Pb 3.33

Entry 12:
This record from Alexandria via LeMat-Bulk describes a relaxed structure of CaBeAl2Re. The functional is PBE.

Results
total magnetization = 0.0 μB per formula unit
energy relative to the elements = 922 meV per atom

Cell lengths 4.8361, 4.8361, 5.3272 Å; angles 90.00, 90.00, 90.00 degrees
Last column: nearest neighbours and their distance in Å.
Space group P4/mmm (No. 123)
Asymmetric unit:
Ca 0.0000 0.0000 0.0000 [1 per cell]  2 Re 2.66
Be 0.5000 0.5000 0.0000 [1 per cell]  4 Ca 3.42, 8 Al 3.60
Al 0.0000 0.5000 0.5000 [2 per cell]  2 Re 2.42
Re 0.0000 0.0000 0.5000 [1 per cell]  4 Al 2.42, 2 Ca 2.66

Entry 13:
This record from Alexandria via LeMat-Bulk describes a relaxed structure of BaIn. The functional is PBE.

Results
total magnetization = 0.0 μB per formula unit
energy relative to the elements = -140 meV per atom

Cell lengths 4.6084, 4.6084, 10.2241 Å; angles 90.00, 90.00, 120.00 degrees
Last column: nearest neighbours and their distance in Å.
Space group P-3m1 (No. 164)
Asymmetric unit:
Ba 0.3333 0.6667 0.1949 [2 per cell]  4 In 3.57-3.86
In 0.3333 0.6667 0.5722 [2 per cell]  3 In 3.04

In order of appearance, raw total energy = -5.1235; -2.0488; -4.7943; -4.9080; -5.4305; -3.7436; -3.9647; -5.2730; -8.3213; -4.7150; -4.1542; -4.2100; -2.4707 eV/atom.